No. 1
Computed, not measured: crystalline Ce2TeO at its relaxed geometry at the PBE-GGA level of DFT.

```
data_Ce2TeO
_chemical_formula_sum 'Ce6 Te3 O3'
_symmetry_space_group_name_H-M 'R -3 m'
_symmetry_Int_Tables_number 166
_symmetry_space_group_name_Hall '-R 3 2"'
_cell_length_a 3.8762
_cell_length_b 3.8762
_cell_length_c 20.9493
_cell_angle_alpha 90.00
_cell_angle_beta 90.00
_cell_angle_gamma 120.00
loop_
_atom_site_label
_atom_site_fract_x
_atom_site_fract_y
_atom_site_fract_z
Ce1 0.0000 0.0000 0.2272
Te1 0.0000 0.0000 0.0000
O1 0.0000 0.0000 0.5000
```

Output
* offset from the most stable computed form: 0.0 kJ/mol of atoms
* formation energy from raw total energies: -750 kJ/mol of formula units
* V: 272.60 Å³/cell
* magnetic moment: 0.459 μB per atom

No. 2
Computed, not measured: crystalline ScMoRh2 at its relaxed geometry at the PBE-GGA level of DFT.

```
data_ScMoRh2
_chemical_formula_sum 'Sc4 Mo4 Rh8'
_symmetry_space_group_name_H-M 'I -4 2 d'
_symmetry_Int_Tables_number 122
_symmetry_space_group_name_Hall 'I -4 2bw'
_cell_length_a 7.125
_cell_length_b 7.125
_cell_length_c 5.539
_cell_angle_alpha 90.00
_cell_angle_beta 90.00
_cell_angle_gamma 90.00
loop_
_atom_site_label
_atom_site_fract_x
_atom_site_fract_y
_atom_site_fract_z
Sc1 0.000 0.000 0.000
Mo1 0.000 0.000 0.500
Rh1 0.218 0.750 0.625
```

Output
* calculated formation energy: 0.020 eV per atom
* V: 281.20 Å³/cell
* magnetic moment: 0.000 μB per atom

No. 3
Computed, not measured: crystalline OsRu4Pt at its relaxed geometry at the PBE-GGA level of DFT.

```
data_OsRu4Pt
_chemical_formula_sum 'Os1 Ru4 Pt1'
_symmetry_space_group_name_H-M 'P 4/m m m'
_symmetry_Int_Tables_number 123
_symmetry_space_group_name_Hall '-P 4 2'
_cell_length_a 2.717
_cell_length_b 2.717
_cell_length_c 11.598
_cell_angle_alpha 90.00
_cell_angle_beta 90.00
_cell_angle_gamma 90.00
loop_
_atom_site_label
_atom_site_fract_x
_atom_site_fract_y
_atom_site_fract_z
Os1 0.000 0.000 0.000
Ru1 0.000 0.000 0.326
Ru2 0.500 0.500 0.166
Pt1 0.500 0.500 0.500
```

Output
* offset from the most stable computed form: 0.0 kJ/mol of atoms
* calculated formation energy: 0.077 eV per atom
* V: 85.61 Å³/cell
* magnetic moment: 0.000 μB per atom

No. 4
Computed, not measured: crystalline LaCd2Si2 at its relaxed geometry at the PBE-GGA level of DFT.

```
data_LaCd2Si2
_chemical_formula_sum 'La2 Cd4 Si4'
_symmetry_space_group_name_H-M 'P 4/m b m'
_symmetry_Int_Tables_number 127
_symmetry_space_group_name_Hall '-P 4 2ab'
_cell_length_a 8.094
_cell_length_b 8.094
_cell_length_c 3.403
_cell_angle_alpha 90.00
_cell_angle_beta 90.00
_cell_angle_gamma 90.00
loop_
_atom_site_label
_atom_site_fract_x
_atom_site_fract_y
_atom_site_fract_z
La1 0.000 0.000 0.000
Cd1 0.145 0.355 0.500
Si1 0.146 0.646 0.000
```

Output
* offset from the most stable computed form: 31.5 kJ/mol of atoms
* formation energy from raw total energies: 7 kJ/mol of formula units
* V: 222.94 Å³/cell
* magnetic moment: 0.000 μB per atom